First-principles (PBE) data for an optimized crystal structure of K3CaSn, as listed in the Alexandria database.

Cell lengths 7.072, 7.072, 7.072 Å; angles 90.00, 90.00, 90.00 degrees
Each line ends with the local moment (μB).
Fractional positions:
K  0.000  0.500  0.000  -0.01
K  0.000  0.000  0.500  0.00
K  0.500  0.000  0.000  -0.01
Ca  0.000  0.000  0.000  -0.03
Sn  0.500  0.500  0.500  0.48

Properties
energy above the lowest structure with this stoichiometry: 44.6 kJ/mol of atoms
formation energy: 3.497 eV/f.u.
space group: Pm-3m
M_tot: 1.014 μB per formula unit
energy: -1.16 eV/atom